First-principles (PBE+U) data for CoAuF5 after structural relaxation, as listed in the Alexandria database.

Output
symmetry	P-1, No. 2
calculated total energy	-27.7	eV per formula unit

a = 5.452 Å, b = 5.583 Å, c = 7.459 Å
α = 107.50°, β = 98.23°, γ = 106.42°
Fractional coordinates of all 14 atoms:
F: 0.836 0.150 0.236
F: 0.274 0.975 0.199
Co: 0.999 0.501 0.499
F: 0.780 0.682 0.974
Au: 0.439 0.162 0.706
F: 0.859 0.714 0.374
Co: 0.999 0.001 0.999
F: 0.724 0.027 0.800
Au: 0.559 0.840 0.292
F: 0.218 0.320 0.024
F: 0.162 0.852 0.763
F: 0.319 0.599 0.408
F: 0.679 0.403 0.591
F: 0.140 0.289 0.625